# MnGaBi3 (PBEsol, optimized geometry)
data_MnGaBi3
_chemical_formula_sum 'Mn1 Ga1 Bi3'
_cell_length_a 5.187
_cell_length_b 5.187
_cell_length_c 5.187
_cell_angle_alpha 90.00
_cell_angle_beta 90.00
_cell_angle_gamma 90.00
_space_group_name_H-M_alt 'P m -3 m'
_space_group_IT_number 221
_space_group_name_Hall '-P 4 2 3'
loop_
_atom_site_label
_atom_site_fract_x
_atom_site_fract_y
_atom_site_fract_z
_atom_site_occupancy
Mn1 0.000 0.000 0.000 1
Ga1 0.500 0.500 0.500 1
Bi1 0.000 0.000 0.500 1
# - magnetic moment (μB per cell) = 2.65
# - E_form (meV/atom) = 472
# - raw total energy (eV/atom) = -4.720
# - DOS at the Fermi energy (states/eV per cell) = 3.9